This record from Alexandria describes a relaxed CoGeNO2 crystal. The functional is PBE+U.

Cell and atoms, written as extended XYZ:
```
5
Lattice="3.928 0.000 0.000 0.000 3.928 0.000 0.000 0.000 3.423" Properties=species:S:1:pos:R:3 pbc="T T T"
Co 0.000 0.000 0.000
Ge 1.964 1.964 1.712
N 0.000 0.000 1.712
O 0.000 1.964 0.000
O 1.964 0.000 0.000
```

## Properties
DFT total energy = -26.8 eV per cell